No. 1
PtCl5: optimized geometry, GGA-PBE.

The space group is P6/mmm (No. 191) and the conventional cell measures 4.9016, 4.9016 and 8.3403 Å, with angles of 90.00, 90.00 and 120.00 degrees. Symmetry generates all atoms from Pt at (0.0000, 0.0000, 0.0000), Cl at (0.0000, 0.5000, 0.5000) and Cl at (0.3333, 0.6667, 0.0000).

Its polymorph energy (0 for the lowest one) is 0.699 eV/atom. The formation energy from raw total energies comes out at 3.739 eV per formula unit.


No. 2
BaTc3As: optimized geometry, GGA-PBE.

The space group is Pm-3m (No. 221) and the conventional cell measures 5.054, 5.054 and 5.054 Å, with angles of 90.00, 90.00 and 90.00 degrees. Symmetry generates all atoms from Ba at (0.000, 0.000, 0.000), Tc at (0.000, 0.000, 0.500) and As at (0.500, 0.500, 0.500).

The calculation puts the formation energy at 2.97 eV/atom. Its polymorph energy (0 for the lowest one) is 2.091 eV/atom.